*one*
## AcPm4Er (PBE-GGA)

Data for a geometry-optimized AcPm4Er structure.

**D(E_F)**: 19.24 states/eV per cell
**Magnetic moment**: 0.00 μB/f.u.
**Space-group type**: C2/c

a = 9.323 Å, b = 6.013 Å, c = 10.654 Å
α = 90.00°, β = 104.81°, γ = 130.14°
Atoms (fractional coordinates):
Er1 0.050 0.300 0.101
Er2 0.950 0.700 0.899
Pm1 0.454 0.704 0.419
Pm2 0.965 0.215 0.419
Pm3 0.035 0.785 0.581
Pm4 0.129 0.380 0.772
Pm5 0.356 0.107 0.228
Pm6 0.644 0.893 0.772
Pm7 0.871 0.620 0.228
Pm8 0.546 0.296 0.581
Ac1 0.554 0.804 0.107
Ac2 0.446 0.196 0.893

*two*
## AcPm4Er (PBE-GGA)

Data for a geometry-optimized AcPm4Er structure.

**D(E_F)**: 10.53 states/eV per cell
**Magnetic moment**: 0.00 μB/f.u.
**Space-group type**: F-43m

a = 6.753 Å, b = 6.753 Å, c = 6.753 Å
α = 60.00°, β = 60.00°, γ = 60.00°
Atoms (fractional coordinates):
Pm1 0.626 0.121 0.626
Pm2 0.626 0.626 0.626
Pm3 0.626 0.626 0.121
Pm4 0.121 0.626 0.626
Ac1 0.250 0.250 0.250
Er1 0.000 0.000 0.000

*three*
## AcPm4Er (PBE-GGA)

Data for a geometry-optimized AcPm4Er structure.

**D(E_F)**: 17.40 states/eV per cell
**Magnetic moment**: 0.00 μB/f.u.
**Space-group type**: C2/c

a = 9.231 Å, b = 5.809 Å, c = 10.662 Å
α = 90.01°, β = 105.15°, γ = 128.97°
Atoms (fractional coordinates):
Ac1 0.376 0.626 0.253
Ac2 0.624 0.374 0.747
Pm1 0.545 0.296 0.083
Pm2 0.455 0.704 0.917
Pm3 0.803 0.052 0.584
Pm4 0.280 0.531 0.583
Pm5 0.037 0.787 0.083
Pm6 0.963 0.213 0.917
Pm7 0.720 0.469 0.417
Pm8 0.197 0.948 0.416
Er1 0.127 0.877 0.754
Er2 0.873 0.123 0.246

Which one sits at the top of the stability order? *three* does.

*one*
## AcPmPrEr (PBE-GGA)

Data for a geometry-optimized AcPmPrEr structure.

**D(E_F)**: 4.81 states/eV per cell
**Magnetic moment**: 0.00 μB/f.u.
**Space-group type**: P3m1

a = 3.747 Å, b = 3.747 Å, c = 11.976 Å
α = 90.00°, β = 90.00°, γ = 120.00°
Atoms (fractional coordinates):
Er1 0.667 0.333 0.668
Pm1 0.667 0.333 0.181
Ac1 0.333 0.667 0.921
Pr1 0.000 0.000 0.429

*two*
## AcPmPrEr (PBE-GGA)

Data for a geometry-optimized AcPmPrEr structure.

**D(E_F)**: 7.92 states/eV per cell
**Magnetic moment**: 0.00 μB/f.u.
**Space-group type**: F-43m

a = 5.909 Å, b = 5.909 Å, c = 5.909 Å
α = 60.00°, β = 60.00°, γ = 60.00°
Atoms (fractional coordinates):
Pr1 0.250 0.250 0.250
Pm1 0.500 0.500 0.500
Ac1 0.750 0.750 0.750
Er1 0.000 0.000 0.000

Which one sits at the top of the stability order? *one* does.

*one*
## AcPmErTm (PBE-GGA)

Data for a geometry-optimized AcPmErTm structure.

**D(E_F)**: 6.82 states/eV per cell
**Magnetic moment**: 0.00 μB/f.u.
**Space-group type**: F-43m

a = 5.830 Å, b = 5.830 Å, c = 5.830 Å
α = 60.00°, β = 60.00°, γ = 60.00°
Atoms (fractional coordinates):
Er1 0.000 0.000 0.000
Pm1 0.250 0.250 0.250
Tm1 0.500 0.500 0.500
Ac1 0.750 0.750 0.750

*two*
## AcPmErTm (PBE-GGA)

Data for a geometry-optimized AcPmErTm structure.

**D(E_F)**: 5.22 states/eV per cell
**Magnetic moment**: 0.00 μB/f.u.
**Space-group type**: Cm

a = 3.676 Å, b = 3.675 Å, c = 12.058 Å
α = 90.01°, β = 98.73°, γ = 119.98°
Atoms (fractional coordinates):
Pm1 0.479 0.137 0.632
Er1 0.305 0.550 0.872
Ac1 0.965 0.381 0.361
Tm1 0.129 0.963 0.105

Which one sits at the top of the stability order? *two* does.

*one*
## AcPr2Er (PBE-GGA)

Data for a geometry-optimized AcPr2Er structure.

**D(E_F)**: 10.48 states/eV per cell
**Magnetic moment**: 0.88 μB/f.u.
**Space-group type**: Fm-3m

a = 5.945 Å, b = 5.945 Å, c = 5.945 Å
α = 60.00°, β = 60.00°, γ = 60.00°
Atoms (fractional coordinates):
Pr1 0.250 0.250 0.250
Pr2 0.750 0.750 0.750
Er1 0.000 0.000 0.000
Ac1 0.500 0.500 0.500

*two*
## AcPr2Er (PBE-GGA)

Data for a geometry-optimized AcPr2Er structure.

**D(E_F)**: 5.10 states/eV per cell
**Magnetic moment**: 0.00 μB/f.u.
**Space-group type**: Cmmm

a = 3.764 Å, b = 7.408 Å, c = 6.400 Å
α = 54.63°, β = 90.00°, γ = 90.00°
Atoms (fractional coordinates):
Ac1 0.500 0.000 0.500
Pr1 0.000 0.000 0.000
Pr2 0.000 0.500 0.000
Er1 0.500 0.500 0.500

Which one sits at the top of the stability order? *two* does.

*one*
## AcPr2Er (PBE-GGA)

Data for a geometry-optimized AcPr2Er structure.

**D(E_F)**: 6.16 states/eV per cell
**Magnetic moment**: 0.00 μB/f.u.
**Space-group type**: P4/mmm

a = 5.289 Å, b = 5.255 Å, c = 5.255 Å
α = 90.00°, β = 90.00°, γ = 90.00°
Atoms (fractional coordinates):
Er1 0.500 0.500 0.500
Pr1 0.000 0.500 0.000
Pr2 0.000 0.000 0.500
Ac1 0.500 0.000 0.000

*two*
## AcPr2Er (PBE-GGA)

Data for a geometry-optimized AcPr2Er structure.

**D(E_F)**: 5.59 states/eV per cell
**Magnetic moment**: 0.00 μB/f.u.
**Space-group type**: R3m

a = 3.747 Å, b = 3.747 Å, c = 12.328 Å
α = 81.26°, β = 81.26°, γ = 60.00°
Atoms (fractional coordinates):
Ac1 0.500 0.500 0.501
Er1 0.667 0.667 0.000
Pr1 0.254 0.254 0.237
Pr2 0.079 0.079 0.763

Which one sits at the top of the stability order? *one* does.

*one*
## Ac12Pr7Er (PBE-GGA)

Data for a geometry-optimized Ac12Pr7Er structure.

**D(E_F)**: 36.74 states/eV per cell
**Magnetic moment**: 0.82 μB/f.u.
**Space-group type**: Im-3

a = 10.746 Å, b = 10.746 Å, c = 10.746 Å
α = 109.47°, β = 109.47°, γ = 109.47°
Atoms (fractional coordinates):
Ac1 0.483 0.248 0.235
Ac2 0.752 0.765 0.517
Ac3 0.235 0.987 0.752
Ac4 0.235 0.483 0.248
Ac5 0.765 0.013 0.248
Ac6 0.248 0.765 0.013
Ac7 0.765 0.517 0.752
Ac8 0.248 0.235 0.483
Ac9 0.752 0.235 0.987
Ac10 0.517 0.752 0.765
Ac11 0.013 0.248 0.765
Ac12 0.987 0.752 0.235
Pr1 0.500 0.500 0.500
Pr2 0.000 0.000 0.500
Pr3 0.500 0.500 0.000
Pr4 0.500 0.000 0.500
Pr5 0.000 0.500 0.000
Pr6 0.000 0.500 0.500
Pr7 0.500 0.000 0.000
Er1 0.000 0.000 0.000

*two*
## Ac12Pr7Er (PBE-GGA)

Data for a geometry-optimized Ac12Pr7Er structure.

**D(E_F)**: 26.48 states/eV per cell
**Magnetic moment**: 0.00 μB/f.u.
**Space-group type**: R-3m

a = 12.276 Å, b = 12.276 Å, c = 12.276 Å
α = 116.74°, β = 116.74°, γ = 116.74°
Atoms (fractional coordinates):
Pr1 0.890 0.890 0.646
Pr2 0.890 0.646 0.890
Pr3 0.110 0.110 0.354
Pr4 0.646 0.890 0.890
Pr5 0.110 0.354 0.110
Pr6 0.354 0.110 0.110
Pr7 0.500 0.500 0.500
Ac1 0.570 0.917 0.570
Ac2 0.912 0.500 0.088
Ac3 0.083 0.430 0.430
Ac4 0.500 0.912 0.088
Ac5 0.430 0.430 0.083
Ac6 0.917 0.570 0.570
Ac7 0.500 0.088 0.912
Ac8 0.912 0.088 0.500
Ac9 0.088 0.912 0.500
Ac10 0.088 0.500 0.912
Ac11 0.430 0.083 0.430
Ac12 0.570 0.570 0.917
Er1 0.000 0.000 0.000

Which one sits at the top of the stability order? *two* does.

*one*
## AcPr3Er2 (PBE-GGA)

Data for a geometry-optimized AcPr3Er2 structure.

**D(E_F)**: 19.80 states/eV per cell
**Magnetic moment**: 0.00 μB/f.u.
**Space-group type**: Fddd

a = 6.393 Å, b = 6.393 Å, c = 12.224 Å
α = 110.30°, β = 110.30°, γ = 70.91°
Atoms (fractional coordinates):
Pr1 0.625 0.375 0.250
Pr2 0.791 0.540 0.581
Pr3 0.209 0.460 0.419
Pr4 0.460 0.209 0.919
Pr5 0.375 0.625 0.750
Pr6 0.540 0.791 0.081
Ac1 0.875 0.125 0.750
Ac2 0.125 0.875 0.250
Er1 0.041 0.291 0.082
Er2 0.709 0.959 0.418
Er3 0.291 0.041 0.582
Er4 0.959 0.709 0.918

*two*
## AcPr3Er2 (PBE-GGA)

Data for a geometry-optimized AcPr3Er2 structure.

**D(E_F)**: 10.38 states/eV per cell
**Magnetic moment**: 0.00 μB/f.u.
**Space-group type**: Immm

a = 3.547 Å, b = 6.225 Å, c = 10.547 Å
α = 107.16°, β = 99.68°, γ = 90.00°
Atoms (fractional coordinates):
Er1 0.361 0.361 0.723
Er2 0.639 0.639 0.277
Pr1 0.809 0.809 0.618
Pr2 0.191 0.191 0.382
Pr3 0.000 0.500 0.000
Ac1 0.000 0.000 0.000

Which one sits at the top of the stability order? *one* does.

*one*
## Ac2Pr2Er (PBE-GGA)

Data for a geometry-optimized Ac2Pr2Er structure.

**D(E_F)**: 8.59 states/eV per cell
**Magnetic moment**: 0.00 μB/f.u.
**Space-group type**: I4/mmm

a = 4.949 Å, b = 4.949 Å, c = 9.132 Å
α = 105.72°, β = 105.72°, γ = 90.00°
Atoms (fractional coordinates):
Pr1 0.591 0.591 0.181
Pr2 0.409 0.409 0.819
Er1 0.000 0.000 0.000
Ac1 0.750 0.250 0.500
Ac2 0.250 0.750 0.500

*two*
## Ac2Pr2Er (PBE-GGA)

Data for a geometry-optimized Ac2Pr2Er structure.

**D(E_F)**: 15.69 states/eV per cell
**Magnetic moment**: 0.00 μB/f.u.
**Space-group type**: C2/c

a = 6.682 Å, b = 6.682 Å, c = 10.229 Å
α = 99.66°, β = 102.43°, γ = 114.44°
Atoms (fractional coordinates):
Ac1 0.851 0.301 0.650
Ac2 0.350 0.299 0.150
Ac3 0.149 0.699 0.350
Ac4 0.650 0.701 0.850
Er1 0.750 0.000 0.250
Er2 0.250 0.000 0.750
Pr1 0.722 0.723 0.500
Pr2 0.777 0.278 0.000
Pr3 0.223 0.722 0.000
Pr4 0.278 0.277 0.500

Which one sits at the top of the stability order? *two* does.

*one*
## Ac2Pr8Er (PBE-GGA)

Data for a geometry-optimized Ac2Pr8Er structure.

**D(E_F)**: 15.31 states/eV per cell
**Magnetic moment**: 0.00 μB/f.u.
**Space-group type**: C2/m

a = 8.413 Å, b = 10.253 Å, c = 10.253 Å
α = 40.21°, β = 49.92°, γ = 49.92°
Atoms (fractional coordinates):
Pr1 0.216 0.333 0.801
Pr2 0.784 0.199 0.667
Pr3 0.216 0.801 0.333
Pr4 0.784 0.667 0.199
Pr5 0.756 0.610 0.610
Pr6 0.787 0.262 0.262
Pr7 0.244 0.390 0.390
Pr8 0.213 0.738 0.738
Ac1 0.398 0.171 0.171
Ac2 0.602 0.829 0.829
Er1 0.000 0.000 0.000

*two*
## Ac2Pr8Er (PBE-GGA)

Data for a geometry-optimized Ac2Pr8Er structure.

**D(E_F)**: 17.09 states/eV per cell
**Magnetic moment**: 0.00 μB/f.u.
**Space-group type**: C2/m

a = 5.840 Å, b = 10.735 Å, c = 10.735 Å
α = 39.20°, β = 93.41°, γ = 93.41°
Atoms (fractional coordinates):
Pr1 0.766 0.455 0.455
Pr2 0.732 0.859 0.384
Pr3 0.223 0.175 0.175
Pr4 0.268 0.141 0.616
Pr5 0.732 0.384 0.859
Pr6 0.268 0.616 0.141
Pr7 0.777 0.825 0.825
Pr8 0.234 0.545 0.545
Er1 0.000 0.000 0.000
Ac1 0.259 0.719 0.719
Ac2 0.741 0.281 0.281

Which one sits at the top of the stability order? *one* does.

*one*
## Ac4PrEr (PBE-GGA)

Data for a geometry-optimized Ac4PrEr structure.

**D(E_F)**: 9.39 states/eV per cell
**Magnetic moment**: 0.00 μB/f.u.
**Space-group type**: F-43m

a = 7.157 Å, b = 7.157 Å, c = 7.157 Å
α = 60.00°, β = 60.00°, γ = 60.00°
Atoms (fractional coordinates):
Er1 0.000 0.000 0.000
Ac1 0.123 0.626 0.626
Ac2 0.626 0.123 0.626
Ac3 0.626 0.626 0.626
Ac4 0.626 0.626 0.123
Pr1 0.250 0.250 0.250

*two*
## Ac4PrEr (PBE-GGA)

Data for a geometry-optimized Ac4PrEr structure.

**D(E_F)**: 10.78 states/eV per cell
**Magnetic moment**: 0.00 μB/f.u.
**Space-group type**: Cmmm

a = 8.583 Å, b = 8.583 Å, c = 5.481 Å
α = 90.01°, β = 90.01°, γ = 37.58°
Atoms (fractional coordinates):
Ac1 0.839 0.839 0.500
Ac2 0.338 0.338 0.000
Ac3 0.161 0.161 0.500
Ac4 0.662 0.662 0.000
Pr1 0.500 0.500 0.500
Er1 0.000 0.000 0.000

Which one sits at the top of the stability order? *two* does.

*one*
## AcPr6Er2 (PBE-GGA)

Data for a geometry-optimized AcPr6Er2 structure.

**D(E_F)**: 24.65 states/eV per cell
**Magnetic moment**: 0.00 μB/f.u.
**Space-group type**: Cmmm

a = 5.849 Å, b = 12.319 Å, c = 12.319 Å
α = 48.39°, β = 103.75°, γ = 103.75°
Atoms (fractional coordinates):
Pr1 0.161 0.495 0.329
Pr2 0.921 0.921 0.421
Pr3 0.662 0.995 0.829
Pr4 0.579 0.579 0.079
Pr5 0.338 0.005 0.171
Pr6 0.079 0.079 0.579
Pr7 0.162 0.829 0.995
Pr8 0.839 0.505 0.671
Pr9 0.838 0.171 0.005
Pr10 0.421 0.421 0.921
Pr11 0.339 0.671 0.505
Pr12 0.661 0.329 0.495
Ac1 0.250 0.250 0.750
Ac2 0.750 0.750 0.250
Er1 0.001 0.333 0.167
Er2 0.999 0.667 0.833
Er3 0.499 0.833 0.667
Er4 0.501 0.167 0.333

*two*
## AcPr6Er2 (PBE-GGA)

Data for a geometry-optimized AcPr6Er2 structure.

**D(E_F)**: 13.77 states/eV per cell
**Magnetic moment**: 0.00 μB/f.u.
**Space-group type**: P-6m2

a = 3.699 Å, b = 3.699 Å, c = 27.592 Å
α = 90.00°, β = 90.00°, γ = 120.00°
Atoms (fractional coordinates):
Pr1 0.333 0.667 0.773
Pr2 0.333 0.667 0.434
Pr3 0.667 0.333 0.884
Pr4 0.333 0.667 0.227
Pr5 0.333 0.667 0.566
Pr6 0.667 0.333 0.116
Ac1 0.333 0.667 0.000
Er1 0.667 0.333 0.332
Er2 0.667 0.333 0.668

Which one sits at the top of the stability order? *one* does.